No. 1
First-principles (PBE-GGA) data for PuTi2Sn after structural relaxation, as listed in the Alexandria database.

a = 3.4451 Å, b = 3.4451 Å, c = 6.6163 Å
α = 90.00°, β = 90.00°, γ = 90.00°
Atoms (fractional coordinates):
Pu: 0.5000 0.5000 0.0000
Ti: 0.0000 0.0000 0.2528
Sn: 0.5000 0.5000 0.5000
Ti: 0.0000 0.0000 0.7472

- ΔE_f (eV per atom) = -0.059
- symmetry = P4/mmm (123)
- E (eV per atom) = -8.5903
- total magnetization (μB per atom) = 1.295
- crystal system = tetragonal
- excess energy over the best structure of this formula in the dataset (meV/atom) = 123
- N(E_F) (states/eV/f.u.) = 6.89



No. 2
First-principles (PBE-GGA) data for PuTi2Sn after structural relaxation, as listed in the Alexandria database.

a = 3.1705 Å, b = 3.1705 Å, c = 9.5947 Å
α = 80.49°, β = 80.49°, γ = 60.00°
Atoms (fractional coordinates):
Sn: 0.5000 0.5000 0.5000
Pu: 0.0000 0.0000 0.0000
Ti: 0.2498 0.2498 0.2507
Ti: 0.7502 0.7502 0.7493

- ΔE_f (eV per atom) = 0.054
- symmetry = R-3m (166)
- E (eV per atom) = -8.4775
- total magnetization (μB per atom) = 1.253
- crystal system = trigonal
- excess energy over the best structure of this formula in the dataset (meV/atom) = 236
- N(E_F) (states/eV/f.u.) = 7.03



No. 3
First-principles (PBE-GGA) data for PuTiSn2 after structural relaxation, as listed in the Alexandria database.

a = 4.4819 Å, b = 4.5486 Å, c = 4.5486 Å
α = 90.00°, β = 90.00°, γ = 90.00°
Atoms (fractional coordinates):
Sn: 0.0000 0.5000 0.0000
Ti: 0.5000 0.0000 0.0000
Sn: 0.0000 0.0000 0.5000
Pu: 0.5000 0.5000 0.5000

- ΔE_f (eV per atom) = -0.234
- symmetry = P4/mmm (123)
- E (eV per atom) = -7.7926
- total magnetization (μB per atom) = 1.841
- crystal system = tetragonal
- N(E_F) (states/eV/f.u.) = 7.29